a) ## AlSbW2O8 (PBE with a Hubbard U)

Data for AlSbW2O8 after structural relaxation.

```
AlSbW2O8
1.0
5.628 0.000 0.000
0.000 5.198 -0.001
0.000 5.210 9.334
O Sb W Al
16 2 4 2
direct
0.882 0.216 0.380
0.399 0.776 0.141
0.881 0.712 0.881
0.620 0.292 0.140
0.620 0.708 0.360
0.118 0.216 0.880
0.882 0.784 0.120
0.399 0.224 0.359
0.601 0.776 0.641
0.380 0.292 0.640
0.119 0.712 0.381
0.119 0.288 0.119
0.118 0.784 0.620
0.380 0.708 0.860
0.881 0.288 0.619
0.601 0.224 0.859
0.360 0.000 0.250
0.640 0.000 0.750
0.158 0.755 0.002
0.842 0.245 0.998
0.842 0.755 0.502
0.158 0.245 0.498
0.665 0.500 0.250
0.335 0.500 0.750
```

Calculated values
DOS at the Fermi energy in states/eV/cell: 0.00
Symmetry: P2/c, No. 13



b) ## AlSbW2O8 (PBE with a Hubbard U)

Data for AlSbW2O8 after structural relaxation.

```
AlSbW2O8
1.0
0.024 0.844 -5.012
0.432 -5.121 -1.379
-5.753 1.405 4.053
W O Al Sb
2 8 1 1
direct
0.393 0.976 0.568
0.903 0.389 0.617
0.597 0.648 0.498
0.556 0.053 0.339
0.077 0.236 0.398
0.248 0.653 0.881
0.689 0.984 0.932
0.144 0.087 0.705
0.977 0.688 0.255
0.700 0.332 0.779
0.636 0.845 0.105
0.078 0.287 0.118
```

Calculated values
DOS at the Fermi energy in states/eV/cell: 0.00
Symmetry: P1, No. 1



Here is how they stack up, most stable first: a), b).